A geometry-optimized LiYThSc structure, computed with PBE.

Computed properties:
Spin magnetization   0.00 μB/cell
Uncorrected energy   -5.344 eV/atom
Energy relative to the elements   189 meV/atom

Unit cell a=5.3637 b=5.3637 c=5.3637 alpha=60.00 beta=60.00 gamma=60.00
Fractional coordinates of all 4 atoms:
Y  0.7500  0.7500  0.7500
Th  0.2500  0.2500  0.2500
Sc  0.5000  0.5000  0.5000
Li  0.0000  0.0000  0.0000